Entry 1:
Mg2CdS (PBE-GGA, optimized geometry); volume = 21.3 Å³/atom; ΔE to the lowest computed polymorph = 335 meV per atom; symmetry = Fm-3m (225)
1.0
0.000 3.491 3.491
3.491 0.000 3.491
3.491 3.491 0.000
Mg Cd S
2 1 1
direct
0.250 0.250 0.250
0.750 0.750 0.750
0.000 0.000 0.000
0.500 0.500 0.500



Entry 2:
MgCdS2 (PBE-GGA, optimized geometry); volume = 22.4 Å³/atom; symmetry = Cmcm (63)
1.0
1.918 -9.673 0.000
1.918 9.673 0.000
0.000 0.000 4.826
Mg Cd S
2 2 4
direct
0.065 0.935 0.750
0.935 0.065 0.250
0.323 0.677 0.750
0.677 0.323 0.250
0.065 0.935 0.250
0.191 0.809 0.750
0.809 0.191 0.250
0.935 0.065 0.750



Entry 3:
MgCdS2 (PBE-GGA, optimized geometry); volume = 18.8 Å³/atom; symmetry = Fm-3m (225)
1.0
0.000 3.348 3.348
3.348 0.000 3.348
3.348 3.348 0.000
Mg Cd S
1 1 2
direct
0.000 0.000 0.000
0.500 0.500 0.500
0.250 0.250 0.250
0.750 0.750 0.750



Entry 4:
MgCdSi2S6 (PBE-GGA, optimized geometry); volume = 21.3 Å³/atom; symmetry = C2/c (15)
1.0
6.062 -5.782 0.000
6.062 5.782 0.000
-1.495 0.000 6.090
Mg Cd Si S
2 2 4 12
direct
0.222 0.778 0.750
0.778 0.222 0.250
0.392 0.608 0.250
0.608 0.392 0.750
0.119 0.287 0.778
0.287 0.119 0.278
0.713 0.881 0.722
0.881 0.713 0.222
0.073 0.209 0.080
0.103 0.633 0.384
0.209 0.073 0.580
0.293 0.474 0.840
0.367 0.897 0.116
0.474 0.293 0.340
0.526 0.707 0.660
0.633 0.103 0.884
0.707 0.526 0.160
0.791 0.927 0.420
0.897 0.367 0.616
0.927 0.791 0.920



Entry 5:
MgCdTe2S (PBE-GGA, optimized geometry); volume = 29.3 Å³/atom; symmetry = P4/mmm (123)
1.0
5.675 0.000 0.000
0.000 5.675 0.000
0.000 0.000 4.552
Mg Cd Te S
1 1 2 1
direct
0.000 0.000 0.000
0.500 0.500 0.000
0.000 0.500 0.500
0.500 0.000 0.500
0.000 0.000 0.500



Entry 6:
MgTiCd2S (PBE-GGA, optimized geometry); volume = 24.9 Å³/atom; symmetry = P4/mmm (123)
1.0
5.266 0.000 0.000
0.000 5.266 0.000
0.000 0.000 4.495
Mg Ti Cd S
1 1 2 1
direct
0.000 0.000 0.000
0.500 0.500 0.500
0.000 0.500 0.000
0.500 0.000 0.000
0.000 0.000 0.500



For reference, spin magnetization by record: 0.000, 0.000, 0.000, 0.000, 0.000, 0.000 μB per atom.
For reference, theoretical density by record: 3.8, 3.7, 4.4, 3.0, 4.8, 4.4 Mg/m³.
For reference, formation energy (no corrections) by record: -11.7, -56.1, -38.1, -68.4, 4.4, 58.4 kJ per mole of atoms.